A relaxed structure of LaTlHS2. Source: Alexandria, functional PBE.

Unit cell a=5.089 b=5.089 c=3.915 alpha=90.00 beta=90.00 gamma=90.00
Positions (direct):
La (0.000, 0.000, 0.000)
Tl (0.500, 0.500, 0.000)
H (0.000, 0.000, 0.500)
S (0.000, 0.500, 0.500)
S (0.500, 0.000, 0.500)

Summary:
Calculated total energy ... -21.906 eV for the cell shown
Fermi-level density of states ... 0.635 states/eV per atom